Record 1
{"formula": "GeCSe3", "functional": "GGA-PBEsol", "state": "optimized geometry", "space_group": "Pm-3m, No. 221", "raw_formation_energy_kj_per_mol_fu": 886.3, "e_tot_ev_per_cell": -16.9, "lattice_angstrom": [[4.8861, 0.0000, 0.0000], [0.0000, 4.8861, 0.0000], [0.0000, 0.0000, 4.8861]], "species": ["C", "Se", "Se", "Se", "Ge"], "fractional_positions": [[0.5000, 0.5000, 0.5000], [0.5000, 0.0000, 0.0000], [0.0000, 0.0000, 0.5000], [0.0000, 0.5000, 0.0000], [0.0000, 0.0000, 0.0000]]}

Record 2
{"formula": "Sb2NCl", "functional": "GGA-PBEsol", "state": "optimized geometry", "space_group": "I-42d, No. 122", "raw_formation_energy_kj_per_mol_fu": 138.8, "e_tot_ev_per_cell": -36.4, "lattice_angstrom": [[5.4159, 0.0000, 0.0000], [0.0000, 5.4159, 0.0000], [-2.7080, -2.7080, 6.7589]], "species": ["N", "N", "Sb", "Sb", "Sb", "Sb", "Cl", "Cl"], "fractional_positions": [[0.5000, 0.5000, 0.0000], [0.7500, 0.2500, 0.5000], [0.6250, 0.4962, 0.7500], [0.7462, 0.3750, 0.2500], [0.1250, 0.2537, 0.7500], [0.5038, 0.8750, 0.2500], [0.0000, 0.0000, 0.0000], [0.2500, 0.7500, 0.5000]]}

Record 3
{"formula": "BePbSe", "functional": "GGA-PBEsol", "state": "optimized geometry", "space_group": "Fmm2, No. 42", "raw_formation_energy_kj_per_mol_fu": 1.6, "e_tot_ev_per_cell": -11.8, "lattice_angstrom": [[3.6968, 0.0000, 0.0000], [1.8484, 3.0745, 0.0000], [1.8484, 0.0000, 5.9104]], "species": ["Be", "Se", "Pb"], "fractional_positions": [[0.0292, 0.0000, 0.9416], [0.6165, 0.0000, 0.7670], [0.3543, 0.0000, 0.2915]]}

Record 4
{"formula": "TaTi2OsC", "functional": "GGA-PBEsol", "state": "optimized geometry", "space_group": "P4/mmm, No. 123", "formation_energy_ev_per_atom": -0.265, "e_tot_ev_per_cell": -52.4, "lattice_angstrom": [[3.9180, 0.0000, 0.0000], [0.0000, 4.2257, 0.0000], [0.0000, 0.0000, 4.2257]], "species": ["C", "Os", "Ta", "Ti", "Ti"], "fractional_positions": [[0.0000, 0.0000, 0.0000], [0.5000, 0.0000, 0.0000], [0.5000, 0.5000, 0.5000], [0.0000, 0.5000, 0.0000], [0.0000, 0.0000, 0.5000]]}

Record 5
{"formula": "ScPPt", "functional": "GGA-PBEsol", "state": "optimized geometry", "space_group": "Pnma, No. 62", "formation_energy_ev_per_atom": -1.316, "e_tot_ev_per_cell": -93.2, "lattice_angstrom": [[3.8171, 0.0000, 0.0000], [0.0000, 6.5224, 0.0000], [0.0000, 0.0000, 7.3871]], "species": ["Pt", "Pt", "Pt", "Pt", "Sc", "Sc", "Sc", "Sc", "P", "P", "P", "P"], "fractional_positions": [[0.7500, 0.6501, 0.5616], [0.2500, 0.3499, 0.4384], [0.7500, 0.1501, 0.9384], [0.2500, 0.8499, 0.0616], [0.2500, 0.9699, 0.6798], [0.2500, 0.4699, 0.8202], [0.7500, 0.0301, 0.3202], [0.7500, 0.5301, 0.1798], [0.2500, 0.2527, 0.1254], [0.7500, 0.7473, 0.8746], [0.2500, 0.7527, 0.3746], [0.7500, 0.2473, 0.6254]]}

Record 6
{"formula": "MgIr2Au", "functional": "GGA-PBEsol", "state": "optimized geometry", "space_group": "Imm2, No. 44", "formation_energy_ev_per_atom": 0.091, "e_tot_ev_per_cell": -24.9, "lattice_angstrom": [[2.8478, 0.0000, 0.0000], [0.0000, 4.6362, 0.0000], [-1.4239, -2.3181, 4.7188]], "species": ["Au", "Ir", "Ir", "Mg"], "fractional_positions": [[0.7445, 0.2445, 0.4889], [0.9885, 0.9885, 0.9769], [0.2616, 0.7616, 0.5231], [0.5055, 0.5055, 0.0110]]}

Record 7
{"formula": "CoAsP2O", "functional": "GGA-PBEsol", "state": "optimized geometry", "space_group": "P4/mmm, No. 123", "raw_formation_energy_kj_per_mol_fu": 31.4, "e_tot_ev_per_cell": -29.3, "lattice_angstrom": [[3.4156, 0.0000, 0.0000], [0.0000, 4.5236, 0.0000], [0.0000, 0.0000, 4.5236]], "species": ["Co", "O", "As", "P", "P"], "fractional_positions": [[0.0000, 0.0000, 0.0000], [0.5000, 0.0000, 0.0000], [0.5000, 0.5000, 0.5000], [0.0000, 0.5000, 0.0000], [0.0000, 0.0000, 0.5000]]}

Record 8
{"formula": "SrSc2O4", "functional": "GGA-PBEsol", "state": "optimized geometry", "space_group": "C2/c, No. 15", "raw_formation_energy_kj_per_mol_fu": -2279.9, "polymorph_energy_mev_per_atom": 27.1, "e_tot_ev_per_cell": -358.1, "lattice_angstrom": [[5.6024, 0.0080, -0.0040], [2.6977, 4.9101, -0.0040], [-0.0926, -0.0548, 20.2261]], "species": ["Sc", "Sc", "Sc", "Sc", "Sc", "Sc", "Sc", "Sc", "Sc", "Sc", "Sc", "Sc", "O", "O", "O", "O", "O", "O", "O", "O", "O", "O", "O", "O", "O", "O", "O", "O", "O", "O", "O", "O", "O", "O", "O", "O", "Sr", "Sr", "Sr", "Sr", "Sr", "Sr"], "fractional_positions": [[0.8786, 0.1290, 0.4297], [0.5481, 0.7900, 0.3059], [0.2100, 0.4519, 0.1941], [0.4599, 0.2116, 0.5527], [0.4519, 0.2100, 0.6941], [0.1214, 0.8710, 0.5703], [0.1290, 0.8786, 0.9297], [0.2116, 0.4599, 0.0527], [0.7900, 0.5481, 0.8059], [0.7884, 0.5401, 0.9473], [0.5401, 0.7884, 0.4473], [0.8710, 0.1214, 0.0703], [0.2023, 0.1020, 0.4973], [0.8980, 0.7977, 0.0027], [0.5000, 0.5000, 0.0000], [0.3194, 0.1142, 0.2485], [0.0240, 0.6394, 0.8746], [0.5471, 0.4529, 0.7500], [0.7813, 0.1121, 0.6245], [0.9760, 0.3606, 0.1254], [0.7734, 0.4766, 0.3796], [0.1121, 0.7813, 0.1245], [0.8858, 0.6806, 0.2515], [0.2266, 0.5234, 0.6204], [0.5234, 0.2266, 0.1204], [0.8879, 0.2187, 0.8755], [0.3606, 0.9760, 0.6254], [0.4766, 0.7734, 0.8796], [0.2187, 0.8879, 0.3755], [0.7977, 0.8980, 0.5027], [0.6394, 0.0240, 0.3746], [0.4529, 0.5471, 0.2500], [0.6806, 0.8858, 0.7515], [0.1020, 0.2023, 0.9973], [0.5000, 0.5000, 0.5000], [0.1142, 0.3194, 0.7485], [0.1193, 0.8807, 0.7500], [0.2174, 0.4536, 0.3546], [0.5464, 0.7826, 0.1454], [0.7826, 0.5464, 0.6454], [0.4536, 0.2174, 0.8546], [0.8807, 0.1193, 0.2500]]}

Record 9
{"formula": "CdCuPt2", "functional": "GGA-PBEsol", "state": "optimized geometry", "space_group": "Cmmm, No. 65", "formation_energy_ev_per_atom": -0.154, "e_tot_ev_per_cell": -20.1, "lattice_angstrom": [[2.8478, 0.0000, 0.0000], [0.0000, 4.6989, 0.0063], [0.0000, -1.3455, 4.5021]], "species": ["Cu", "Pt", "Pt", "Cd"], "fractional_positions": [[0.5000, 0.5000, 0.5000], [0.0000, 0.0000, 0.5000], [0.0000, 0.5000, 0.0000], [0.5000, 0.0000, 0.0000]]}

Record 10
{"formula": "BaSrZn3", "functional": "GGA-PBEsol", "state": "optimized geometry", "space_group": "Pm-3m, No. 221", "formation_energy_ev_per_atom": 0.443, "e_tot_ev_per_cell": -6.5, "lattice_angstrom": [[-4.6128, -2.3674, 2.1625], [2.6628, -0.7177, 4.8943], [-1.7863, 5.0438, 1.7115]], "species": ["Zn", "Zn", "Zn", "Ba", "Sr"], "fractional_positions": [[0.5000, 0.0000, 0.0000], [0.0000, 0.5000, 0.0000], [0.0000, 0.0000, 0.5000], [0.5000, 0.5000, 0.5000], [0.0000, 0.0000, 0.0000]]}

Record 11
{"formula": "RePtSe", "functional": "GGA-PBEsol", "state": "optimized geometry", "space_group": "P3m1, No. 156", "raw_formation_energy_kj_per_mol_fu": 51.1, "e_tot_ev_per_cell": -23.6, "lattice_angstrom": [[2.9241, 0.0000, 0.0000], [-1.4620, 2.5323, 0.0000], [0.0000, 0.0000, 6.3569]], "species": ["Re", "Se", "Pt"], "fractional_positions": [[0.3333, 0.6667, 0.6498], [0.6667, 0.3333, 0.3621], [0.0000, 0.0000, 0.9881]]}

Record 12
{"formula": "Sc4TeAs", "functional": "GGA-PBEsol", "state": "optimized geometry", "space_group": "F-43m, No. 216", "raw_formation_energy_kj_per_mol_fu": -64.0, "e_tot_ev_per_cell": -35.7, "lattice_angstrom": [[-2.8809, 0.3419, -4.8730], [1.9558, -2.6101, -4.6395], [-2.6865, -4.5625, -2.0319]], "species": ["Sc", "Sc", "Sc", "Sc", "As", "Te"], "fractional_positions": [[0.3746, 0.3746, 0.8762], [0.3746, 0.8762, 0.3746], [0.3746, 0.3746, 0.3746], [0.8762, 0.3746, 0.3746], [0.0000, 0.0000, 0.0000], [0.7500, 0.7500, 0.7500]]}

- Which formula does entry 10 have?
  BaSrZn3